(1)
The following is a SCAN calculation of a crystal of PrAl10Ru2 relaxed with PBEsol, from Alexandria.

Computed properties:
* DFT formation energy: -7.74 eV/f.u.
* E: -198.23 eV per formula unit
* DOS at the Fermi energy: 15.6 states/eV/cell

Unit cell a=9.075 b=10.233 c=9.129 alpha=90.00 beta=90.00 gamma=90.00
Space group Cmcm (No. 63)
Asymmetric unit:
Pr 0.000 0.124 0.250 (multiplicity 4)
Al 0.000 0.161 0.601 (multiplicity 8)
Al 0.000 0.377 0.051 (multiplicity 8)
Al 0.149 0.370 0.750 (multiplicity 8)
Al 0.226 0.364 0.250 (multiplicity 8)
Al 0.227 0.000 0.000 (multiplicity 8)
Ru 0.250 0.250 0.000 (multiplicity 8)


(2)
The following is a SCAN calculation of a crystal of Pr3Al12Ru4 relaxed with PBEsol, from Alexandria.

Computed properties:
* DFT formation energy: -13.81 eV/f.u.
* E: -376.11 eV per formula unit
* DOS at the Fermi energy: 15.5 states/eV/cell

Unit cell a=8.8333 b=8.8333 c=9.6346 alpha=90.00 beta=90.00 gamma=120.00
Space group P6_3/mmc (No. 194)
Asymmetric unit:
Pr 0.1922 0.3844 0.2500 (multiplicity 6)
Al 0.0000 0.0000 0.2500 (multiplicity 2)
Al 0.1245 0.5622 0.7500 (multiplicity 6)
Al 0.1625 0.3249 0.5752 (multiplicity 12)
Al 0.3333 0.6667 0.0083 (multiplicity 4)
Ru 0.0000 0.0000 0.0000 (multiplicity 2)
Ru 0.0000 0.5000 0.0000 (multiplicity 6)


(3)
The following is a SCAN calculation of a crystal of Pr5Al2Ru3 relaxed with PBEsol, from Alexandria.

Computed properties:
* DFT formation energy: -4.45 eV/f.u.
* E: -341.06 eV per formula unit
* DOS at the Fermi energy: 23.0 states/eV/cell

Unit cell a=9.787 b=9.787 c=9.787 alpha=90.00 beta=90.00 gamma=90.00
Space group I2_13 (No. 199)
Asymmetric unit:
Pr 0.000 0.250 0.435 (multiplicity 12)
Pr 0.107 0.107 0.107 (multiplicity 8)
Al 0.204 0.296 0.704 (multiplicity 8)
Ru 0.000 0.250 0.869 (multiplicity 12)